Material: YGe3Cl9
Method: DFT, PBE-GGA
State: optimized geometry

Unit cell a=9.3219 b=11.7182 c=10.0226 alpha=74.97 beta=62.29 gamma=66.56
Closest atoms and distances in Å follow each position.
Positions (direct):
Cl  0.0983  0.9687  0.6901  1 Ge 2.39
Cl  0.7564  0.3476  0.7474  1 Ge 2.29
Cl  0.8677  0.5909  0.4932  2 Ge 2.43-2.56
Ge  0.9674  0.0499  0.2645  3 Cl 2.29-2.54
Cl  0.1486  0.8476  0.2474  1 Ge 2.29
Y  0.4010  0.0064  0.4928  6 Cl 2.58-2.73
Cl  0.9939  0.4928  0.7964  1 Ge 2.54, 1 Y 2.64
Y  0.0998  0.5064  0.9928  6 Cl 2.58-2.73
Ge  0.7182  0.5499  0.7645  3 Cl 2.29-2.54
Cl  0.2561  0.1162  0.3067  1 Y 2.58
Cl  0.4576  0.8925  0.7469  1 Ge 2.45, 1 Y 2.73
Ge  0.5133  0.3000  0.6373  2 Cl 2.25-2.42
Cl  0.0482  0.0909  0.9932  2 Ge 2.43-2.56
Cl  0.5580  0.6056  0.1353  1 Ge 2.25
Cl  0.2429  0.4687  0.1901  1 Ge 2.39
Cl  0.3209  0.6162  0.8067  1 Y 2.58
Cl  0.3288  0.2328  0.5609  1 Ge 2.60, 1 Y 2.66
Cl  0.8775  0.7328  0.0609  1 Ge 2.60, 1 Y 2.66
Cl  0.7168  0.9928  0.2964  1 Ge 2.54, 1 Y 2.64
Ge  0.5493  0.8000  0.1373  2 Cl 2.25-2.42
Cl  0.7011  0.1056  0.6353  1 Ge 2.25
Ge  0.0529  0.3737  0.4017  3 Cl 2.39-2.56
Ge  0.1717  0.8737  0.9017  3 Cl 2.39-2.56
Cl  0.3330  0.2804  0.9046  1 Ge 2.42
Cl  0.9031  0.3925  0.2469  1 Ge 2.45, 1 Y 2.73
Cl  0.4821  0.7804  0.4046  1 Ge 2.42

Computed properties:
- space-group type = Cc, No. 9
- raw formation energy (eV per atom) = -1.225
- V (Å³/atom) = 34.06
- N(E_F) (states/eV per atom) = 0.000

Material: RbPaNbN4
Method: DFT, PBE-GGA
State: optimized geometry

Unit cell a=6.1190 b=6.0165 c=8.6602 alpha=90.00 beta=117.56 gamma=90.00
Closest atoms and distances in Å follow each position.
Positions (direct):
Rb  0.4790  0.2500  0.1074  4 N 2.87-3.21
N  0.5550  0.2500  0.7769  1 Nb 1.98, 1 Pa 2.19
N  0.9972  0.5141  0.3392  1 Nb 1.99
Nb  0.7818  0.2500  0.6714  4 N 1.90-1.99
N  0.4450  0.7500  0.2231  1 Nb 1.98, 1 Pa 2.19
N  0.5047  0.2500  0.4468  1 Nb 1.90
Pa  0.2015  0.2500  0.5382  6 N 2.19-2.41
Pa  0.7985  0.7500  0.4618  6 N 2.19-2.41
Rb  0.5210  0.7500  0.8926  4 N 2.87-3.21
N  0.0028  0.4859  0.6608  1 Nb 1.99
N  0.9972  0.9859  0.3392  1 Nb 1.99
N  0.4953  0.7500  0.5532  1 Nb 1.90
N  0.0028  0.0141  0.6608  1 Nb 1.99
Nb  0.2182  0.7500  0.3286  4 N 1.90-1.99

Computed properties:
- space-group type = P2_1/m, No. 11
- raw formation energy (eV per atom) = -0.698
- V (Å³/atom) = 20.19
- N(E_F) (states/eV per atom) = 0.832

Material: LuThTiIn
Method: DFT, PBE-GGA
State: optimized geometry

Unit cell a=5.2907 b=5.2907 c=5.2907 alpha=60.00 beta=60.00 gamma=60.00
Closest atoms and distances in Å follow each position.
Positions (direct):
Lu  0.0000  0.0000  0.0000  4 In 3.24, 4 Ti 3.24
Th  0.5000  0.5000  0.5000  4 In 3.24, 4 Ti 3.24
Ti  0.2500  0.2500  0.2500  4 Th 3.24, 4 Lu 3.24
In  0.7500  0.7500  0.7500  4 Th 3.24, 4 Lu 3.24

Computed properties:
- space-group type = F-43m, No. 216
- V (Å³/atom) = 26.18
- N(E_F) (states/eV per atom) = 1.596
- calculated formation energy (eV per atom) = 0.010

Material: Y2CuSe
Method: DFT, PBE-GGA
State: optimized geometry

Unit cell a=4.0688 b=4.0083 c=11.5997 alpha=99.95 beta=90.00 gamma=90.00
Closest atoms and distances in Å follow each position.
Positions (direct):
Se  0.2500  0.1931  0.3863  6 Y 2.87-2.90
Y  0.2500  0.0664  0.1327  1 Se 2.90, 6 Cu 2.93-3.11
Y  0.2500  0.3199  0.6398  5 Se 2.87-2.90
Cu  0.2500  0.4625  0.9249  2 Cu 2.66, 4 Y 2.93
Y  0.7500  0.9336  0.8673  1 Se 2.90, 6 Cu 2.93-3.11
Se  0.7500  0.8069  0.6137  6 Y 2.87-2.90
Cu  0.7500  0.5375  0.0751  2 Cu 2.66, 4 Y 2.93
Y  0.7500  0.6801  0.3602  5 Se 2.87-2.90

Computed properties:
- space-group type = Cmcm, No. 63
- E above lowest polymorph (eV/atom) = 0.000
- raw formation energy (eV per atom) = -1.025
- V (Å³/atom) = 23.29
- N(E_F) (states/eV per atom) = 0.518

Question: Look up the N(E_F) of the second one.
Answer: 0.832 states/eV per atom

Question: Among the records above, which one has the highest N(E_F)?
Answer: LuThTiIn

Question: What is the formula in the second record?
Answer: RbPaNbN4

Question: Among the records above, which one has the lowest N(E_F)?
Answer: YGe3Cl9